First-principles (PBE) data for a relaxed structure of AcTb12Ho3, as listed in Alexandria via LeMat-Bulk.

Energy of formation in meV per atom: 29

a b c (Å): 5.0586 5.0586 20.2481
angles (deg): 90.00 90.00 90.00
With the nearest neighbours (Å) after each atom.
Fractional coordinates of all 16 atoms:
Ac (0.0000, 0.0000, 0.0000)  12 Tb 3.58-3.67
Tb (0.0000, 0.5000, 0.1312)  2 Ho 3.54, 8 Tb 3.56-3.67, 2 Ac 3.67
Tb (0.0000, 0.5000, 0.3770)  8 Tb 3.54-3.58, 4 Ho 3.55-3.56
Tb (0.0000, 0.5000, 0.6230)  8 Tb 3.54-3.58, 4 Ho 3.55-3.56
Tb (0.0000, 0.5000, 0.8688)  2 Ho 3.54, 8 Tb 3.56-3.67, 2 Ac 3.67
Tb (0.5000, 0.0000, 0.1312)  2 Ho 3.54, 8 Tb 3.56-3.67, 2 Ac 3.67
Tb (0.5000, 0.0000, 0.3770)  8 Tb 3.54-3.58, 4 Ho 3.55-3.56
Tb (0.5000, 0.0000, 0.6230)  8 Tb 3.54-3.58, 4 Ho 3.55-3.56
Tb (0.5000, 0.0000, 0.8688)  2 Ho 3.54, 8 Tb 3.56-3.67, 2 Ac 3.67
Tb (0.5000, 0.5000, 0.0000)  4 Ac 3.58, 8 Tb 3.67
Tb (0.5000, 0.5000, 0.2547)  8 Tb 3.54-3.56, 4 Ho 3.58
Tb (0.5000, 0.5000, 0.5000)  8 Tb 3.55, 4 Ho 3.58
Tb (0.5000, 0.5000, 0.7453)  8 Tb 3.54-3.56, 4 Ho 3.58
Ho (0.0000, 0.0000, 0.2533)  12 Tb 3.54-3.58
Ho (0.0000, 0.0000, 0.5000)  12 Tb 3.55-3.58
Ho (0.0000, 0.0000, 0.7467)  12 Tb 3.54-3.58